[1]
# LiDyCd6 PBE optimized geometry
# Crystal system   trigonal
# DOS at the Fermi energy   11.3 states/eV per cell
# Energy relative to the elements   -20.0 kJ/mol of atoms
# Energy above the lowest structure with this stoichiometry   0.0 meV/atom
data_LiDyCd6
_chemical_formula_sum 'Li3 Dy3 Cd18'
_space_group_name_H-M_alt 'R -3 m'
_space_group_IT_number 166
_space_group_name_Hall '-R 3 2"'
_cell_length_a 4.9536
_cell_length_b 4.9536
_cell_length_c 24.7775
_cell_angle_alpha 90.00
_cell_angle_beta 90.00
_cell_angle_gamma 120.00
loop_
_atom_site_label
_atom_site_type_symbol
_atom_site_fract_x
_atom_site_fract_y
_atom_site_fract_z
_atom_site_occupancy
Li1 Li 0.0000 0.0000 0.0000 1
Dy1 Dy 0.0000 0.0000 0.5000 1
Cd1 Cd 0.0000 0.0000 0.1153 1
Cd2 Cd 0.0000 0.0000 0.2466 1
Cd3 Cd 0.0000 0.0000 0.3695 1

[2]
# MnFePt2 PBE optimized geometry
# Crystal system   tetragonal
# DOS at the Fermi energy   2.9 states/eV per cell
# Energy relative to the elements   -26.6 kJ/mol of atoms
data_MnFePt2
_chemical_formula_sum 'Mn1 Fe1 Pt2'
_space_group_name_H-M_alt 'P 4/m m m'
_space_group_IT_number 123
_space_group_name_Hall '-P 4 2'
_cell_length_a 2.807
_cell_length_b 2.807
_cell_length_c 7.377
_cell_angle_alpha 90.00
_cell_angle_beta 90.00
_cell_angle_gamma 90.00
loop_
_atom_site_label
_atom_site_type_symbol
_atom_site_fract_x
_atom_site_fract_y
_atom_site_fract_z
_atom_site_occupancy
Mn1 Mn 0.000 0.000 0.000 1
Fe1 Fe 0.000 0.000 0.500 1
Pt1 Pt 0.500 0.500 0.255 1

[3]
# Mg6Sn3Pb PBE optimized geometry
# Crystal system   orthorhombic
# DOS at the Fermi energy   13.0 states/eV per cell
# Energy relative to the elements   -5.4 kJ/mol of atoms
data_Mg6Sn3Pb
_chemical_formula_sum 'Mg24 Sn12 Pb4'
_space_group_name_H-M_alt 'C m c 21'
_space_group_IT_number 36
_space_group_name_Hall 'C 2c -2'
_cell_length_a 9.497
_cell_length_b 15.817
_cell_length_c 7.116
_cell_angle_alpha 90.00
_cell_angle_beta 90.00
_cell_angle_gamma 90.00
loop_
_atom_site_label
_atom_site_type_symbol
_atom_site_fract_x
_atom_site_fract_y
_atom_site_fract_z
_atom_site_occupancy
Mg1 Mg 0.000 0.034 0.000 1
Mg2 Mg 0.000 0.272 0.865 1
Mg3 Mg 0.186 0.484 0.877 1
Mg4 Mg 0.216 0.296 0.504 1
Sn1 Sn 0.000 0.412 0.609 1
Sn2 Sn 0.159 0.122 0.658 1
Pb1 Pb 0.000 0.184 0.254 1

[4]
# Li4SmSi2Au PBE optimized geometry
# Crystal system   trigonal
# DOS at the Fermi energy   12.3 states/eV per cell
# E_form (uncorrected)   -305 meV/atom
data_Li4SmSi2Au
_chemical_formula_sum 'Li12 Sm3 Si6 Au3'
_space_group_name_H-M_alt 'R -3 m'
_space_group_IT_number 166
_space_group_name_Hall '-R 3 2"'
_cell_length_a 4.4367
_cell_length_b 4.4367
_cell_length_c 25.9132
_cell_angle_alpha 90.00
_cell_angle_beta 90.00
_cell_angle_gamma 120.00
loop_
_atom_site_label
_atom_site_type_symbol
_atom_site_fract_x
_atom_site_fract_y
_atom_site_fract_z
_atom_site_occupancy
Li1 Li 0.0000 0.0000 0.0958 1
Li2 Li 0.0000 0.0000 0.3715 1
Sm1 Sm 0.0000 0.0000 0.5000 1
Si1 Si 0.0000 0.0000 0.2295 1
Au1 Au 0.0000 0.0000 0.0000 1

no.,uncorrected energy (eV/atom),total magnetic moment (μB/f.u.)
1,-1.71,0.000
2,-7.70,7.562
3,-2.58,0.000
4,-3.62,0.000